1.
{"formula": "ErPuSc", "functional": "PBE-GGA", "state": "relaxed", "polymorph_energy_kj_per_mol_atoms": 0.0, "sg": "I4mm, No. 107", "formation_energy_ev_per_atom": 0.1093, "lattice": [[3.3925, 0.0000, 0.0000], [0.0000, 3.3925, 0.0000], [-1.6963, -1.6963, 7.0475]], "species": ["Sc", "Pu", "Er"], "frac_coords": [[0.6129, 0.6129, 0.2259], [0.9553, 0.9553, 0.9106], [0.2818, 0.2818, 0.5635]]}

2.
{"formula": "Er6PuSc2", "functional": "PBE-GGA", "state": "relaxed", "polymorph_energy_kj_per_mol_atoms": 27.1, "sg": "R3m, No. 160", "formation_energy_ev_per_atom": 0.3914, "lattice": [[-4.2208, -3.8399, 4.2191], [-4.4853, -4.7229, -2.8173], [1.4502, -7.2165, 0.8511]], "species": ["Er", "Sc", "Er", "Er", "Er", "Sc", "Pu", "Er", "Er"], "frac_coords": [[0.0533, 0.0534, 0.2889], [0.5803, 0.5803, 0.2591], [0.0534, 0.6044, 0.2889], [0.6044, 0.0533, 0.2889], [0.7722, 0.2620, 0.7039], [0.7565, 0.7565, 0.7304], [0.3216, 0.3216, 0.0352], [0.2619, 0.7722, 0.7039], [0.2620, 0.2619, 0.7039]]}

3.
{"formula": "Er12PuSc7", "functional": "PBE-GGA", "state": "relaxed", "sg": "R-3, No. 148", "formation_energy_ev_per_atom": 0.1519, "lattice": [[-3.9953, -1.7165, -7.8318], [8.7441, -1.7563, -0.8380], [-3.4132, -5.5073, 6.1860]], "species": ["Sc", "Er", "Sc", "Er", "Er", "Sc", "Er", "Pu", "Er", "Er", "Er", "Er", "Sc", "Sc", "Er", "Er", "Sc", "Sc", "Er", "Er"], "frac_coords": [[0.5000, 0.5000, 0.5000], [0.1344, 0.9292, 0.6570], [0.2369, 0.1025, 0.3737], [0.6570, 0.1344, 0.9292], [0.3430, 0.8656, 0.0708], [0.3737, 0.2369, 0.1025], [0.6394, 0.1985, 0.5363], [0.0000, 0.0000, 0.0000], [0.8656, 0.0708, 0.3430], [0.0708, 0.3430, 0.8656], [0.9292, 0.6570, 0.1344], [0.1985, 0.5363, 0.6394], [0.1025, 0.3737, 0.2369], [0.6263, 0.7631, 0.8975], [0.3606, 0.8015, 0.4637], [0.4637, 0.3606, 0.8015], [0.7631, 0.8975, 0.6263], [0.8975, 0.6263, 0.7631], [0.8015, 0.4637, 0.3606], [0.5363, 0.6394, 0.1985]]}